1.
AlV4Cr PBE-GGA optimized geometry; ΔH_f (0 K) = -67 meV/atom; final energy = -8.37 eV per atom; offset from the most stable computed form = 11 meV per atom
1.0
2.572 0.000 0.000
0.039 4.219 0.000
0.105 0.058 7.414
Al V Cr
1 4 1
direct
0.000 0.000 0.000 Al
0.314 0.006 0.659 V
0.353 0.496 0.179 V
0.647 0.504 0.821 V
0.686 0.994 0.341 V
0.000 0.500 0.500 Cr


2.
LiTh2Ge3Pt4 PBE-GGA optimized geometry; ΔH_f (0 K) = -921 meV/atom; final energy = -6.40 eV per atom
1.0
4.339 0.000 0.000
0.000 4.339 0.000
0.000 0.000 10.104
Li Th Ge Pt
1 2 3 4
direct
0.000 0.000 0.000 Li
0.000 0.500 0.748 Th
0.500 0.000 0.252 Th
0.000 0.500 0.367 Ge
0.500 0.000 0.633 Ge
0.500 0.500 0.000 Ge
0.000 0.000 0.500 Pt
0.000 0.500 0.125 Pt
0.500 0.000 0.875 Pt
0.500 0.500 0.500 Pt


3.
Zr5Ni PBE-GGA optimized geometry; ΔH_f (0 K) = -108 meV/atom; final energy = -8.19 eV per atom; offset from the most stable computed form = 10 meV per atom
1.0
5.432 -1.613 0.000
5.432 1.613 0.000
-2.413 0.000 7.278
Zr Ni
5 1
direct
0.000 0.000 0.000 Zr
0.038 0.038 0.414 Zr
0.366 0.366 0.635 Zr
0.669 0.669 0.780 Zr
0.740 0.740 0.264 Zr
0.313 0.313 0.038 Ni


4.
Rb2CeInSe5 PBE-GGA optimized geometry; final energy = -4.18 eV per atom; formation energy from raw total energies = -1063.4 meV/atom
1.0
2.098 -10.298 0.000
2.098 10.298 0.000
0.000 0.000 14.854
Rb Ce In Se
4 2 2 10
direct
0.121 0.879 0.500 Rb
0.137 0.863 0.131 Rb
0.863 0.137 0.631 Rb
0.879 0.121 0.000 Rb
0.203 0.797 0.832 Ce
0.797 0.203 0.332 Ce
0.441 0.559 0.244 In
0.559 0.441 0.744 In
0.055 0.945 0.854 Se
0.297 0.703 0.459 Se
0.314 0.686 0.196 Se
0.337 0.663 0.820 Se
0.498 0.502 0.596 Se
0.502 0.498 0.096 Se
0.663 0.337 0.320 Se
0.686 0.314 0.696 Se
0.703 0.297 0.959 Se
0.945 0.055 0.354 Se


5.
CsBa2LiRh PBE-GGA optimized geometry; ΔH_f (0 K) = 79 meV/atom; final energy = -2.71 eV per atom
1.0
6.085 0.000 0.000
0.000 6.085 0.000
0.000 0.000 5.853
Cs Ba Li Rh
1 2 1 1
direct
0.000 0.000 0.000 Cs
0.000 0.500 0.500 Ba
0.500 0.000 0.500 Ba
0.500 0.500 0.000 Li
0.500 0.500 0.500 Rh


6.
MgHS2 PBE-GGA optimized geometry; final energy = -2.99 eV per atom; offset from the most stable computed form = 756 meV per atom
1.0
0.000 3.093 3.093
3.093 0.000 3.093
3.093 3.093 0.000
Mg H S
1 1 2
direct
0.000 0.000 0.000 Mg
0.500 0.500 0.500 H
0.250 0.250 0.250 S
0.750 0.750 0.750 S


Question: Among the records above, which one has the highest final energy?
Answer: CsBa2LiRh


Question: What is the final energy in the fifth record?
Answer: -2.71 eV per atom


Question: The highest final energy belongs to which entry?
Answer: CsBa2LiRh